# 1
# PBE-GGA PrNd8Sc2, relaxed
data_PrNd8Sc2
_cell_length_a 9.0801
_cell_length_b 16.2911
_cell_length_c 5.9529
_cell_angle_alpha 90.00
_cell_angle_beta 122.52
_cell_angle_gamma 90.00
_space_group_name_H-M_alt 'C 1 2/m 1'
_space_group_IT_number 12
_space_group_name_Hall '-C 2y'
loop_
_atom_site_label
_atom_site_type_symbol
_atom_site_fract_x
_atom_site_fract_y
_atom_site_fract_z
_atom_site_occupancy
Pr1 Pr 0.0000 0.0000 0.0000 1
Nd1 Nd 0.0000 0.2085 0.0000 1
Nd2 Nd 0.0781 0.5000 0.7937 1
Nd3 Nd 0.2179 0.1209 0.6735 1
Sc1 Sc 0.0000 0.3100 0.5000 1
# - E above lowest polymorph: 34 meV per atom
# - Energy of formation from the pure elements: 154 meV/atom


# 2
# PBE-GGA Ba2SbHN, relaxed
data_Ba2SbHN
_cell_length_a 6.0084
_cell_length_b 6.0084
_cell_length_c 3.2771
_cell_angle_alpha 90.00
_cell_angle_beta 90.00
_cell_angle_gamma 90.00
_space_group_name_H-M_alt 'P 4/m m m'
_space_group_IT_number 123
_space_group_name_Hall '-P 4 2'
loop_
_atom_site_label
_atom_site_type_symbol
_atom_site_fract_x
_atom_site_fract_y
_atom_site_fract_z
_atom_site_occupancy
Ba1 Ba 0.0000 0.5000 0.0000 1
Sb1 Sb 0.0000 0.0000 0.5000 1
H1 H 0.5000 0.5000 0.0000 1
N1 N 0.5000 0.5000 0.5000 1
# - DFT total energy: -3.95 eV/atom


# 3
# PBE-GGA Ba5Sr2Mg, relaxed
data_Ba5Sr2Mg
_cell_length_a 10.5039
_cell_length_b 19.3232
_cell_length_c 4.4172
_cell_angle_alpha 90.00
_cell_angle_beta 90.00
_cell_angle_gamma 90.00
_space_group_name_H-M_alt 'P b a m'
_space_group_IT_number 55
_space_group_name_Hall '-P 2 2ab'
loop_
_atom_site_label
_atom_site_type_symbol
_atom_site_fract_x
_atom_site_fract_y
_atom_site_fract_z
_atom_site_occupancy
Ba1 Ba 0.0000 0.0000 0.0000 1
Ba2 Ba 0.0041 0.2281 0.0000 1
Ba3 Ba 0.2037 0.3884 0.5000 1
Sr1 Sr 0.1970 0.6099 0.5000 1
Mg1 Mg 0.0000 0.5000 0.0000 1
# - Energy of formation from the pure elements: 18 meV/atom


# 4
# PBE-GGA CeThCdHg, relaxed
data_CeThCdHg
_cell_length_a 4.7374
_cell_length_b 4.7374
_cell_length_c 9.4766
_cell_angle_alpha 90.00
_cell_angle_beta 90.00
_cell_angle_gamma 90.00
_space_group_name_H-M_alt 'I -4 m 2'
_space_group_IT_number 119
_space_group_name_Hall 'I -4 -2'
loop_
_atom_site_label
_atom_site_type_symbol
_atom_site_fract_x
_atom_site_fract_y
_atom_site_fract_z
_atom_site_occupancy
Ce1 Ce 0.0000 0.0000 0.0000 1
Th1 Th 0.0000 0.0000 0.5000 1
Cd1 Cd 0.0000 0.5000 0.2500 1
Hg1 Hg 0.0000 0.5000 0.7500 1
# - E above lowest polymorph: 0 meV per atom
# - Energy of formation from the pure elements: -189 meV/atom


# 5
# PBE-GGA La5Pr12Y2, relaxed
data_La5Pr12Y2
_cell_length_a 18.4740
_cell_length_b 9.4789
_cell_length_c 9.0793
_cell_angle_alpha 90.00
_cell_angle_beta 118.78
_cell_angle_gamma 90.00
_space_group_name_H-M_alt 'C 1 2/m 1'
_space_group_IT_number 12
_space_group_name_Hall '-C 2y'
loop_
_atom_site_label
_atom_site_type_symbol
_atom_site_fract_x
_atom_site_fract_y
_atom_site_fract_z
_atom_site_occupancy
La1 La 0.0000 0.0000 0.0000 1
La2 La 0.2109 0.5000 0.7255 1
La3 La 0.2368 0.0000 0.7907 1
Pr1 Pr 0.0464 0.0000 0.6892 1
Pr2 Pr 0.0611 0.5000 0.2226 1
Pr3 Pr 0.1282 0.2764 0.9612 1
Pr4 Pr 0.1472 0.1868 0.4041 1
Y1 Y 0.0000 0.3261 0.5000 1
# - E above lowest polymorph: 82 meV per atom
# - Energy of formation from the pure elements: 178 meV/atom


# 6
# PBE-GGA ScNbSe2N, relaxed
data_ScNbSe2N
_cell_length_a 4.8417
_cell_length_b 4.8417
_cell_length_c 5.2620
_cell_angle_alpha 90.00
_cell_angle_beta 90.00
_cell_angle_gamma 90.00
_space_group_name_H-M_alt 'P 4/m m m'
_space_group_IT_number 123
_space_group_name_Hall '-P 4 2'
loop_
_atom_site_label
_atom_site_type_symbol
_atom_site_fract_x
_atom_site_fract_y
_atom_site_fract_z
_atom_site_occupancy
Sc1 Sc 0.0000 0.0000 0.0000 1
Nb1 Nb 0.0000 0.0000 0.5000 1
Se1 Se 0.0000 0.5000 0.0000 1
N1 N 0.5000 0.5000 0.5000 1
# - E above lowest polymorph: 2135 meV per atom
# - Raw formation energy: 1672 meV/atom


# 7
# PBE-GGA SiGeSeN2, relaxed
data_SiGeSeN2
_cell_length_a 3.5595
_cell_length_b 3.5595
_cell_length_c 5.8916
_cell_angle_alpha 90.00
_cell_angle_beta 90.00
_cell_angle_gamma 90.00
_space_group_name_H-M_alt 'P 4/m m m'
_space_group_IT_number 123
_space_group_name_Hall '-P 4 2'
loop_
_atom_site_label
_atom_site_type_symbol
_atom_site_fract_x
_atom_site_fract_y
_atom_site_fract_z
_atom_site_occupancy
Si1 Si 0.0000 0.0000 0.0000 1
Ge1 Ge 0.5000 0.5000 0.5000 1
Se1 Se 0.0000 0.0000 0.5000 1
N1 N 0.0000 0.5000 0.0000 1
# - E above lowest polymorph: 0 meV per atom
# - Raw formation energy: 575 meV/atom


# 8
# PBE-GGA PaIrRh2, relaxed
data_PaIrRh2
_cell_length_a 4.0674
_cell_length_b 4.0674
_cell_length_c 4.0708
_cell_angle_alpha 90.00
_cell_angle_beta 90.00
_cell_angle_gamma 90.00
_space_group_name_H-M_alt 'P 4/m m m'
_space_group_IT_number 123
_space_group_name_Hall '-P 4 2'
loop_
_atom_site_label
_atom_site_type_symbol
_atom_site_fract_x
_atom_site_fract_y
_atom_site_fract_z
_atom_site_occupancy
Pa1 Pa 0.0000 0.0000 0.0000 1
Ir1 Ir 0.5000 0.5000 0.0000 1
Rh1 Rh 0.0000 0.5000 0.5000 1
# - E above lowest polymorph: 0 meV per atom
# - Energy of formation from the pure elements: -885 meV/atom


# 9
# PBE-GGA Pr5Nd3Cd2, relaxed
data_Pr5Nd3Cd2
_cell_length_a 13.4633
_cell_length_b 15.2234
_cell_length_c 6.7986
_cell_angle_alpha 90.00
_cell_angle_beta 90.00
_cell_angle_gamma 90.00
_space_group_name_H-M_alt 'I b a m'
_space_group_IT_number 72
_space_group_name_Hall '-I 2 2c'
loop_
_atom_site_label
_atom_site_type_symbol
_atom_site_fract_x
_atom_site_fract_y
_atom_site_fract_z
_atom_site_occupancy
Pr1 Pr 0.0000 0.0000 0.2500 1
Pr2 Pr 0.1254 0.1652 0.0000 1
Pr3 Pr 0.2498 0.0000 0.2500 1
Nd1 Nd 0.0000 0.5000 0.2500 1
Nd2 Nd 0.1174 0.2591 0.5000 1
Cd1 Cd 0.1266 0.3585 0.0000 1
# - Energy of formation from the pure elements: 136 meV/atom


# 10
# PBE-GGA Zr3GaIr, relaxed
data_Zr3GaIr
_cell_length_a 5.0549
_cell_length_b 5.0549
_cell_length_c 5.0549
_cell_angle_alpha 90.00
_cell_angle_beta 90.00
_cell_angle_gamma 90.00
_space_group_name_H-M_alt 'P m -3 m'
_space_group_IT_number 221
_space_group_name_Hall '-P 4 2 3'
loop_
_atom_site_label
_atom_site_type_symbol
_atom_site_fract_x
_atom_site_fract_y
_atom_site_fract_z
_atom_site_occupancy
Zr1 Zr 0.0000 0.0000 0.5000 1
Ga1 Ga 0.5000 0.5000 0.5000 1
Ir1 Ir 0.0000 0.0000 0.0000 1
# - E above lowest polymorph: 0 meV per atom
# - Energy of formation from the pure elements: 144 meV/atom


# 11
# PBE-GGA Cr2SN2, relaxed
data_Cr2SN2
_cell_length_a 3.2666
_cell_length_b 3.2666
_cell_length_c 6.0972
_cell_angle_alpha 90.00
_cell_angle_beta 90.00
_cell_angle_gamma 120.00
_space_group_name_H-M_alt 'P -3 m 1'
_space_group_IT_number 164
_space_group_name_Hall '-P 3 2"'
loop_
_atom_site_label
_atom_site_type_symbol
_atom_site_fract_x
_atom_site_fract_y
_atom_site_fract_z
_atom_site_occupancy
Cr1 Cr 0.3333 0.6667 0.3022 1
S1 S 0.0000 0.0000 0.0000 1
N1 N 0.3333 0.6667 0.6293 1
# - Raw formation energy: -242 meV/atom


# 12
# PBE-GGA Li3AgAu4, relaxed
data_Li3AgAu4
_cell_length_a 9.0757
_cell_length_b 6.3046
_cell_length_c 4.5754
_cell_angle_alpha 90.00
_cell_angle_beta 90.00
_cell_angle_gamma 90.00
_space_group_name_H-M_alt 'P m m a'
_space_group_IT_number 51
_space_group_name_Hall '-P 2a 2a'
loop_
_atom_site_label
_atom_site_type_symbol
_atom_site_fract_x
_atom_site_fract_y
_atom_site_fract_z
_atom_site_occupancy
Li1 Li 0.0000 0.0000 0.0000 1
Li2 Li 0.2500 0.0000 0.4275 1
Li3 Li 0.2500 0.5000 0.4304 1
Ag1 Ag 0.0000 0.5000 0.0000 1
Au1 Au 0.0000 0.2340 0.5000 1
Au2 Au 0.2500 0.2343 0.9251 1
# - E above lowest polymorph: 0 meV per atom
# - Energy of formation from the pure elements: -405 meV/atom


Number 1: density of states at the Fermi level 31.151 states/eV per cell. Number 2: density of states at the Fermi level 1.631 states/eV per cell. Number 3: density of states at the Fermi level 26.637 states/eV per cell. Number 4: density of states at the Fermi level 14.659 states/eV per cell. Number 5: density of states at the Fermi level 60.185 states/eV per cell. Number 6: density of states at the Fermi level 8.673 states/eV per cell. Number 7: density of states at the Fermi level 2.105 states/eV per cell. Number 8: density of states at the Fermi level 1.876 states/eV per cell. Number 9: density of states at the Fermi level 60.464 states/eV per cell. Number 10: density of states at the Fermi level 7.458 states/eV per cell. Number 11: density of states at the Fermi level 2.055 states/eV per cell. Number 12: density of states at the Fermi level 4.846 states/eV per cell.